1.
RbTlCu2Br8, relaxed, DFT GGA-PBE; ΔE_f (raw) = -0.5069 eV/atom
1.0
6.776 0.000 0.000
3.388 5.868 0.000
3.388 1.956 10.156
Br Rb Cu Tl
8 1 2 1
Cartesian
10.164 5.868 9.939
5.626 5.821 3.210
5.698 1.961 3.210
9.005 3.871 6.946
9.005 3.954 3.210
5.698 5.863 6.946
5.626 2.003 6.946
3.388 1.956 0.218
0.000 0.000 0.000
10.164 5.868 7.580
3.388 1.956 2.576
6.776 3.912 5.078

2.
RbTlCu2Br5, relaxed, DFT GGA-PBE; ΔE_f (raw) = -0.7264 eV/atom
1.0
-2.507 -0.164 4.358
-2.992 -3.592 -1.857
6.810 -7.553 3.634
Br Cu Tl Rb
5 2 1 1
Cartesian
4.079 -5.996 5.025
0.224 -1.720 2.967
3.837 -7.710 1.917
-0.019 -3.434 -0.140
0.655 -5.654 3.067
2.299 -7.477 3.945
-0.988 -3.831 2.190
0.000 0.000 0.000
3.405 -3.776 1.817

3.
RbTlCuBr5, relaxed, DFT GGA-PBE; ΔE_f (raw) = -0.7742 eV/atom
1.0
7.831 0.067 -0.108
-2.222 7.510 -0.108
-2.453 -3.314 9.897
Br Rb Cu Tl
10 2 2 2
Cartesian
-2.086 6.127 2.366
5.242 -1.864 7.314
-0.412 1.013 5.666
-0.974 4.687 5.861
2.316 1.559 0.718
0.840 2.704 8.963
4.130 -0.424 3.820
-2.838 2.170 8.768
3.568 3.250 4.014
5.994 2.093 0.913
0.656 4.097 2.366
2.501 0.166 7.314
4.156 1.506 2.366
-0.999 2.757 7.314
-1.227 -1.657 4.948
0.000 0.000 0.000